Computed, not measured: a relaxed CoRhO3 crystal at the PBE+U level of DFT.

Unit cell a=9.2777 b=9.2777 c=9.2777 alpha=90.00 beta=90.00 gamma=90.00
Space group Fd-3m (No. 227, origin choice 2)
One atom of each set of equivalent atoms:
Co 0.0000 0.0000 0.0000 (multiplicity 16)
Rh 0.0000 0.0000 0.5000 (multiplicity 16)
O 0.1091 0.3750 0.3750 (multiplicity 48)

Output
The calculation puts the calculated density at 6.981 g/cm3. The electronic total energy is -6.035 eV per atom.